(1)
Computed, not measured: a geometry-optimized Ho8P3PtSe4 structure at the GGA-PBE level of DFT.

* formation energy (no corrections): -1668.0 meV/atom
* SG: R-3m, No. 166
* electronic total energy: -6.22 eV per atom
* crystal system: trigonal

Cell lengths 8.059, 8.123, 8.059 Å; angles 119.74, 120.00, 90.00 degrees
Fractional positions:
1 Pt 0.000 0.500 0.000
2 Ho 0.245 0.732 0.490
3 P 0.500 0.500 0.500
4 Ho 0.258 0.268 0.013
5 Ho 0.742 0.732 0.987
6 Se 0.500 0.000 0.500
7 Ho 0.743 0.728 0.485
8 P 0.000 0.500 0.500
9 Se 0.000 0.000 0.500
10 Ho 0.755 0.268 0.510
11 Ho 0.245 0.732 0.987
12 Se 0.500 0.000 0.000
13 Ho 0.755 0.268 0.013
14 Se 0.000 0.000 0.000
15 Ho 0.257 0.272 0.515
16 P 0.500 0.500 0.000



(2)
Computed, not measured: a geometry-optimized Ho8PPt3Se4 structure at the GGA-PBE level of DFT.

* formation energy (no corrections): -1515.5 meV/atom
* SG: R-3m, No. 166
* electronic total energy: -6.15 eV per atom
* crystal system: trigonal

Cell lengths 8.006, 8.349, 8.006 Å; angles 118.65, 120.00, 90.00 degrees
Fractional positions:
1 Se 0.000 0.000 0.500
2 Se 0.000 0.000 0.000
3 Ho 0.755 0.267 0.012
4 P 0.000 0.500 0.000
5 Ho 0.245 0.733 0.490
6 Se 0.500 0.000 0.000
7 Ho 0.245 0.733 0.988
8 Ho 0.744 0.730 0.487
9 Ho 0.755 0.267 0.510
10 Ho 0.257 0.267 0.012
11 Pt 0.500 0.500 0.000
12 Pt 0.500 0.500 0.500
13 Pt 0.000 0.500 0.500
14 Ho 0.256 0.270 0.513
15 Ho 0.743 0.733 0.988
16 Se 0.500 0.000 0.500